# 1
The following is a DFT calculation (PBE-GGA) of an optimized crystal structure of KAg2PSe2S2.

Summary:
Energy above the lowest structure with this stoichiometry ... 0.000 eV/atom

Lattice parameters (Å, degrees): 10.832 6.815 6.828 90.00 127.21 90.00
Space group C2 (No. 5)
Symmetry-distinct sites (fractional):
1 K 0.000 0.000 0.000 x2
2 Ag 0.249 0.508 0.262 x4
3 P 0.000 0.527 0.500 x2
4 Se 0.144 0.330 0.831 x4
5 S 0.138 0.700 0.456 x4

=====

# 2
The following is a DFT calculation (PBE-GGA) of an optimized crystal structure of KAg2PSe2S2.

Summary:
Energy above the lowest structure with this stoichiometry ... 0.003 eV/atom

Lattice parameters (Å, degrees): 9.622 9.723 8.574 90.00 90.00 90.00
Space group Fmm2 (No. 42)
Symmetry-distinct sites (fractional):
1 K 0.000 0.000 0.000 x4
2 Ag 0.250 0.250 0.233 x8
3 P 0.000 0.000 0.503 x4
4 Se 0.000 0.190 0.352 x8
5 S 0.179 0.000 0.636 x8

=====

# 3
The following is a DFT calculation (PBE-GGA) of an optimized crystal structure of KAg2PSeS3.

Summary:
Energy ... -3.958 eV/atom

Lattice parameters (Å, degrees): 8.482 9.496 6.319 90.00 130.90 90.00
Space group Cm (No. 8)
Symmetry-distinct sites (fractional):
1 K 0.000 0.000 0.000 x2
2 Ag 0.000 0.257 0.493 x4
3 P 0.483 0.000 0.974 x2
4 Se 0.323 0.500 0.360 x2
5 S 0.351 0.181 0.982 x4
6 S 0.448 0.000 0.618 x2

=====

# 4
The following is a DFT calculation (PBE-GGA) of an optimized crystal structure of KAg2TePS3.

Summary:
Energy ... -3.855 eV/atom

Lattice parameters (Å, degrees): 8.789 9.503 6.414 90.00 129.78 90.00
Space group Cm (No. 8)
Symmetry-distinct sites (fractional):
1 K 0.000 0.000 0.000 x2
2 Ag 0.491 0.238 0.473 x4
3 Te 0.303 0.500 0.342 x2
4 P 0.445 0.000 0.926 x2
5 S 0.325 0.181 0.947 x4
6 S 0.416 0.000 0.579 x2

=====

# 5
The following is a DFT calculation (PBE-GGA) of an optimized crystal structure of KAg2Te3PS.

Summary:
Energy ... -3.492 eV/atom

Lattice parameters (Å, degrees): 9.813 9.768 6.901 90.00 133.65 90.00
Space group Cm (No. 8)
Symmetry-distinct sites (fractional):
1 K 0.000 0.000 0.000 x2
2 Ag 0.129 0.222 0.616 x4
3 Te 0.038 0.500 0.358 x2
4 Te 0.245 0.286 0.107 x4
5 P 0.058 0.500 0.015 x2
6 S 0.287 0.000 0.640 x2

=====

# 6
The following is a DFT calculation (PBE-GGA) of an optimized crystal structure of KAg2TePSe3.

Summary:
Energy ... -3.555 eV/atom

Lattice parameters (Å, degrees): 9.079 9.956 6.694 90.00 130.76 90.00
Space group Cm (No. 8)
Symmetry-distinct sites (fractional):
1 K 0.000 0.000 0.000 x2
2 Ag 0.497 0.244 0.485 x4
3 Te 0.325 0.500 0.361 x2
4 P 0.473 0.000 0.960 x2
5 Se 0.340 0.186 0.974 x4
6 Se 0.437 0.000 0.594 x2

=====

# 7
The following is a DFT calculation (PBE-GGA) of an optimized crystal structure of KPaAgTe3.

Summary:
Energy ... -4.613 eV/atom

Lattice parameters (Å, degrees): 4.421 15.879 11.559 90.00 90.00 90.00
Space group Cmcm (No. 63)
Symmetry-distinct sites (fractional):
1 K 0.000 0.245 0.250 x4
2 Pa 0.000 0.000 0.000 x4
3 Ag 0.000 0.462 0.750 x4
4 Te 0.000 0.073 0.750 x4
5 Te 0.000 0.367 0.547 x8

=====

# 8
The following is a DFT calculation (PBE-GGA) of an optimized crystal structure of KAgPb.

Summary:
Energy ... -1.964 eV/atom

Lattice parameters (Å, degrees): 7.632 7.632 7.632 90.00 90.00 90.00
Space group F-43m (No. 216)
Symmetry-distinct sites (fractional):
1 K 0.000 0.000 0.000 x4
2 Ag 0.250 0.250 0.750 x4
3 Pb 0.250 0.250 0.250 x4

=====

# 9
The following is a DFT calculation (PBE-GGA) of an optimized crystal structure of KAgPbS3.

Summary:
Energy ... -3.690 eV/atom

Lattice parameters (Å, degrees): 4.199 12.963 11.124 90.00 90.00 90.00
Space group Cmcm (No. 63)
Symmetry-distinct sites (fractional):
1 K 0.000 0.219 0.250 x4
2 Ag 0.000 0.079 0.750 x4
3 Pb 0.000 0.500 0.000 x4
4 S 0.000 0.144 0.540 x8
5 S 0.000 0.466 0.750 x4

=====

# 10
The following is a DFT calculation (PBE-GGA) of an optimized crystal structure of KAgPbSe2S.

Summary:
Energy ... -3.553 eV/atom

Lattice parameters (Å, degrees): 4.361 12.507 11.538 90.00 90.00 90.00
Space group Cmcm (No. 63)
Symmetry-distinct sites (fractional):
1 K 0.000 0.212 0.250 x4
2 Ag 0.000 0.078 0.750 x4
3 Pb 0.000 0.500 0.000 x4
4 Se 0.000 0.162 0.535 x8
5 S 0.000 0.477 0.750 x4

=====

# 11
The following is a DFT calculation (PBE-GGA) of an optimized crystal structure of KAgPbSeS2.

Summary:
Energy ... -3.581 eV/atom

Lattice parameters (Å, degrees): 3.965 14.750 11.293 90.00 90.00 90.00
Space group Cmcm (No. 63)
Symmetry-distinct sites (fractional):
1 K 0.000 0.242 0.250 x4
2 Ag 0.000 0.064 0.750 x4
3 Pb 0.000 0.500 0.000 x4
4 Se 0.000 0.439 0.750 x4
5 S 0.000 0.128 0.547 x8

=====

# 12
The following is a DFT calculation (PBE-GGA) of an optimized crystal structure of KAgTePbS2.

Summary:
Energy ... -3.494 eV/atom

Lattice parameters (Å, degrees): 3.901 15.963 11.736 90.00 90.00 90.00
Space group Cmcm (No. 63)
Symmetry-distinct sites (fractional):
1 K 0.000 0.229 0.250 x4
2 Ag 0.000 0.450 0.750 x4
3 Te 0.000 0.081 0.750 x4
4 Pb 0.000 0.000 0.000 x4
5 S 0.000 0.383 0.560 x8

=====

# 13
The following is a DFT calculation (PBE-GGA) of an optimized crystal structure of KAgPbSe3.

Summary:
Energy ... -3.432 eV/atom

Lattice parameters (Å, degrees): 4.265 13.070 11.557 90.00 90.00 90.00
Space group Cmcm (No. 63)
Symmetry-distinct sites (fractional):
1 K 0.000 0.218 0.250 x4
2 Ag 0.000 0.086 0.750 x4
3 Pb 0.000 0.500 0.000 x4
4 Se 0.000 0.160 0.536 x8
5 Se 0.000 0.469 0.750 x4

=====

# 14
The following is a DFT calculation (PBE-GGA) of an optimized crystal structure of KAgTe2PbSe.

Summary:
Energy ... -3.300 eV/atom

Lattice parameters (Å, degrees): 4.370 13.864 11.853 90.00 90.00 90.00
Space group Cmcm (No. 63)
Symmetry-distinct sites (fractional):
1 K 0.000 0.222 0.250 x4
2 Ag 0.000 0.066 0.750 x4
3 Te 0.000 0.166 0.536 x8
4 Pb 0.000 0.500 0.000 x4
5 Se 0.000 0.460 0.750 x4

=====

# 15
The following is a DFT calculation (PBE-GGA) of an optimized crystal structure of KAgTePbSe2.

Summary:
Energy ... -3.315 eV/atom

Lattice parameters (Å, degrees): 4.031 15.824 11.660 90.00 90.00 90.00
Space group Cmcm (No. 63)
Symmetry-distinct sites (fractional):
1 K 0.000 0.237 0.250 x4
2 Ag 0.000 0.448 0.750 x4
3 Te 0.000 0.074 0.750 x4
4 Pb 0.000 0.000 0.000 x4
5 Se 0.000 0.371 0.551 x8

=====

# 16
The following is a DFT calculation (PBE-GGA) of an optimized crystal structure of KAg3Te4Pb.

Summary:
Energy ... -2.974 eV/atom

Lattice parameters (Å, degrees): 7.063 7.063 7.063 90.00 90.00 90.00
Space group P-43m (No. 215)
Symmetry-distinct sites (fractional):
1 K 0.000 0.000 0.000 x1
2 Ag 0.000 0.500 0.500 x3
3 Te 0.269 0.269 0.269 x4
4 Pb 0.500 0.500 0.500 x1

=====

# 17
The following is a DFT calculation (PBE-GGA) of an optimized crystal structure of KAgTePdS2.

Summary:
Energy ... -3.720 eV/atom

Lattice parameters (Å, degrees): 3.645 15.948 10.754 90.00 90.00 90.00
Space group Cmcm (No. 63)
Symmetry-distinct sites (fractional):
1 K 0.000 0.240 0.250 x4
2 Ag 0.000 0.432 0.750 x4
3 Te 0.000 0.073 0.750 x4
4 Pd 0.000 0.000 0.000 x4
5 S 0.000 0.400 0.527 x8

=====

# 18
The following is a DFT calculation (PBE-GGA) of an optimized crystal structure of KAg3PdSe4.

Summary:
Energy ... -3.353 eV/atom

Lattice parameters (Å, degrees): 6.407 6.407 6.407 90.00 90.00 90.00
Space group P-43m (No. 215)
Symmetry-distinct sites (fractional):
1 K 0.000 0.000 0.000 x1
2 Ag 0.000 0.500 0.500 x3
3 Pd 0.500 0.500 0.500 x1
4 Se 0.277 0.277 0.277 x4

=====

# 19
The following is a DFT calculation (PBE-GGA) of an optimized crystal structure of KAgTePdSe2.

Summary:
Energy ... -3.557 eV/atom

Lattice parameters (Å, degrees): 3.838 15.718 10.664 90.00 90.00 90.00
Space group Cmcm (No. 63)
Symmetry-distinct sites (fractional):
1 K 0.000 0.236 0.250 x4
2 Ag 0.000 0.443 0.750 x4
3 Te 0.000 0.074 0.750 x4
4 Pd 0.000 0.000 0.000 x4
5 Se 0.000 0.390 0.519 x8

=====

# 20
The following is a DFT calculation (PBE-GGA) of an optimized crystal structure of KAgTe2PdSe.

Summary:
Energy ... -3.484 eV/atom

Lattice parameters (Å, degrees): 4.058 14.995 10.835 90.00 90.00 90.00
Space group Cmcm (No. 63)
Symmetry-distinct sites (fractional):
1 K 0.000 0.246 0.250 x4
2 Ag 0.000 0.452 0.750 x4
3 Te 0.000 0.379 0.517 x8
4 Pd 0.000 0.000 0.000 x4
5 Se 0.000 0.065 0.750 x4

=====

# 21
The following is a DFT calculation (PBE-GGA) of an optimized crystal structure of KAg3Te4Pd.

Summary:
Energy ... -3.167 eV/atom

Lattice parameters (Å, degrees): 6.785 6.785 6.785 90.00 90.00 90.00
Space group P-43m (No. 215)
Symmetry-distinct sites (fractional):
1 K 0.000 0.000 0.000 x1
2 Ag 0.000 0.500 0.500 x3
3 Te 0.277 0.277 0.277 x4
4 Pd 0.500 0.500 0.500 x1

=====

# 22
The following is a DFT calculation (PBE-GGA) of an optimized crystal structure of KPrAg.

Summary:
Energy ... -2.251 eV/atom

Lattice parameters (Å, degrees): 7.488 7.488 7.488 90.00 90.00 90.00
Space group F-43m (No. 216)
Symmetry-distinct sites (fractional):
1 K 0.000 0.000 0.000 x4
2 Pr 0.250 0.250 0.250 x4
3 Ag 0.000 0.000 0.500 x4